DFT (PBE) results for an optimized crystal structure of Th3Al2Au3.

Cell: 4.4629 6.0781 14.9635 Å, 90.00 90.00 111.54°
Closest atoms and distances in Å follow each position.
Fractional coordinates of all 16 atoms:
Au 0.3823 0.7646 0.5402  3 Al 2.61-2.79, 1 Au 2.92
Au 0.6582 0.3163 0.7500  2 Al 2.74
Au 0.3823 0.7646 0.9598  3 Al 2.61-2.79, 1 Au 2.92
Au 0.6177 0.2354 0.4598  3 Al 2.61-2.79, 1 Au 2.92
Au 0.3418 0.6837 0.2500  2 Al 2.74
Au 0.6177 0.2354 0.0402  3 Al 2.61-2.79, 1 Au 2.92
Al 0.7876 0.5752 0.9046  4 Au 2.61-2.79
Al 0.7876 0.5752 0.5954  4 Au 2.61-2.79
Al 0.2124 0.4248 0.0954  4 Au 2.61-2.79
Al 0.2124 0.4248 0.4046  4 Au 2.61-2.79
Th 0.0777 0.1553 0.6116  6 Au 3.18-3.32, 4 Al 3.27-3.45
Th 0.9223 0.8447 0.1116  6 Au 3.18-3.32, 4 Al 3.27-3.45
Th 0.3691 0.7382 0.7500  5 Au 3.14-3.27, 4 Al 3.34
Th 0.9223 0.8447 0.3884  6 Au 3.18-3.32, 4 Al 3.27-3.45
Th 0.6309 0.2618 0.2500  5 Au 3.14-3.27, 4 Al 3.34
Th 0.0777 0.1553 0.8884  6 Au 3.18-3.32, 4 Al 3.27-3.45

Calculated values
As for the total energy: -5.571 eV/atom.